The following is a DFT calculation (PBE-GGA) of a relaxed structure of Pu2Ga4Ni3Rh.

Its space-group type is P-4m2, No. 115. As for the formation enthalpy at 0 K: -0.44 eV/atom. Its density of states at the Fermi level is 28.3 states/eV per cell.

Unit cell a=4.0951 b=4.0951 c=10.1307 alpha=90.00 beta=90.00 gamma=90.00
Last column: nearest neighbours and their distance in Å.
Sites, in units of the cell vectors:
Pu: 0.5000 0.0000 0.2483  6 Ni 3.13-3.27, 8 Ga 3.13-3.24, 2 Rh 3.27
Pu: 0.0000 0.5000 0.7517  6 Ni 3.13-3.27, 8 Ga 3.13-3.24, 2 Rh 3.27
Ga: 0.5000 0.5000 0.0000  4 Ni 2.44
Ga: 0.0000 0.0000 0.0000  4 Ni 2.44
Ga: 0.5000 0.0000 0.6341  3 Ni 2.38-2.46, 2 Rh 2.46
Ga: 0.0000 0.5000 0.3659  3 Ni 2.38-2.46, 2 Rh 2.46
Ni: 0.0000 0.0000 0.5000  4 Ga 2.46
Ni: 0.5000 0.0000 0.8687  5 Ga 2.38-2.44
Ni: 0.0000 0.5000 0.1313  5 Ga 2.38-2.44
Rh: 0.5000 0.5000 0.5000  4 Ga 2.46